No. 1
Compound: Ac8Ge3Te4Pt
Source: the Alexandria database
Functional: PBE
Structure: relaxed

Geometry as POSCAR:
```
Ac8Ge3Te4Pt
1.0
4.6238 2.6696 7.8017
-4.6238 2.6696 7.8017
0.0000 -5.3391 7.8017
Ac Ge Te Pt
8 3 4 1
Direct
0.2422 0.2422 0.2422
0.2418 0.7396 0.7396
0.2604 0.2604 0.7582
0.2604 0.7582 0.2604
0.7396 0.2418 0.7396
0.7396 0.7396 0.2418
0.7582 0.2604 0.2604
0.7578 0.7578 0.7578
0.0000 0.0000 0.5000
0.0000 0.5000 0.0000
0.5000 0.0000 0.0000
0.0000 0.0000 0.0000
0.0000 0.5000 0.5000
0.5000 0.0000 0.5000
0.5000 0.5000 0.0000
0.5000 0.5000 0.5000
```

Calculated values
SG: R-3m



No. 2
Compound: Ac2GeTePt6
Source: the Alexandria database
Functional: PBE
Structure: relaxed

Geometry as POSCAR:
```
Ac2GeTePt6
1.0
2.9294 1.6913 8.2041
-2.9294 1.6913 8.2041
0.0000 -3.3826 8.2041
Ac Ge Te Pt
2 1 1 6
Direct
0.2065 0.2065 0.2065
0.7935 0.7935 0.7935
0.5000 0.5000 0.5000
0.0000 0.0000 0.0000
0.2434 0.7446 0.7446
0.2554 0.2554 0.7566
0.2554 0.7566 0.2554
0.7446 0.2434 0.7446
0.7446 0.7446 0.2434
0.7566 0.2554 0.2554
```

Calculated values
SG: R-3m



| no. | electronic total energy (eV per atom) |
| --- | --- |
| 1 | -5.300 |
| 2 | -5.945 |